# BaSn2GeIr PBE relaxed
# Total DFT energy (no corrections), eV per formula unit: -26.1
data_BaSn2GeIr
_cell_length_a 6.452
_cell_length_b 6.452
_cell_length_c 6.452
_cell_angle_alpha 136.14
_cell_angle_beta 136.14
_cell_angle_gamma 63.76
_space_group_name_H-M_alt 'P 1'
_space_group_IT_number 1
_space_group_name_Hall 'P 1'
loop_
_atom_site_label
_atom_site_type_symbol
_atom_site_fract_x
_atom_site_fract_y
_atom_site_fract_z
Ba1 Ba 0.000 0.000 0.000
Sn1 Sn 0.245 0.745 0.500
Sn2 Sn 0.745 0.245 0.500
Ge1 Ge 0.575 0.575 0.000
Ir1 Ir 0.355 0.355 0.000